VASP calculation (PBE with a Hubbard U) on crystalline KMnC2O at its relaxed geometry. Values from VASP.

calculated volume	22.303	Å³ per atom
raw total energy	-4.9506	eV per atom
size of the total moment	0.52	μB per formula unit
space group	P4/mmm
Fermi-level density of states	3.004	states/eV/cell

```
&SYSTEM
  ibrav = 0, nat = 5, ntyp = 4
/
ATOMIC_SPECIES
K 39.10 K.upf
Mn 54.94 Mn.upf
C 12.01 C.upf
O 16.00 O.upf
ATOMIC_POSITIONS angstrom
K 0.124 -2.004 -3.370
Mn 0.000 0.000 0.000
C 1.824 -0.377 0.292
C -0.473 -1.576 0.920
O 1.475 -3.957 -2.158
CELL_PARAMETERS angstrom
-0.947 -3.152 1.839
0.249 -4.007 -6.740
3.648 -0.755 0.583
```

---

VASP calculation (PBE with a Hubbard U) on crystalline K2MnCO4 at its relaxed geometry. Values from VASP.

calculated volume	17.066	Å³ per atom
raw total energy	-6.0172	eV per atom
size of the total moment	3.01	μB per formula unit
space group	Fddd

```
&SYSTEM
  ibrav = 0, nat = 16, ntyp = 4
/
ATOMIC_SPECIES
K 39.10 K.upf
Mn 54.94 Mn.upf
C 12.01 C.upf
O 16.00 O.upf
ATOMIC_POSITIONS angstrom
K 0.244 1.071 6.834
K -2.099 3.185 4.781
K -3.466 1.663 10.287
K -5.477 2.474 3.376
Mn -4.471 2.068 6.832
Mn 0.000 0.000 0.000
C -2.919 0.273 6.169
C -1.553 1.795 0.663
O -5.729 -0.266 2.443
O -0.582 1.360 10.098
O -5.986 1.819 11.724
O -2.483 1.769 1.737
O -4.277 0.419 5.775
O -2.640 1.374 7.024
O -5.876 2.591 8.109
O -1.989 0.299 5.095
CELL_PARAMETERS angstrom
-3.105 3.591 1.325
-5.535 -1.915 1.386
1.250 0.665 10.290
```